# 1
Compound: ZrMo2As
Source: the Alexandria database
Functional: GGA-PBE
Structure: relaxed

Summary:
total moment: 0.000 Bohr magnetons per cell
uncorrected energy: -8.74 eV/atom
ΔE_f: -2.43 kJ/mol of atoms
crystal system: monoclinic

Structure (CIF):
```
data_ZrMo2As
_cell_length_a 2.926
_cell_length_b 4.817
_cell_length_c 4.959
_cell_angle_alpha 90.00
_cell_angle_beta 90.18
_cell_angle_gamma 90.00
_symmetry_space_group_name_H-M 'P 1 2/m 1'
_symmetry_Int_Tables_number 10
_symmetry_space_group_name_Hall '-P 2y'
loop_
_atom_site_label
_atom_site_fract_x
_atom_site_fract_y
_atom_site_fract_z
Zr1 0.000 0.000 0.000
Mo1 0.360 0.500 0.252
As1 0.500 0.000 0.500
```



# 2
Compound: Al2SbOs
Source: the Alexandria database
Functional: GGA-PBE
Structure: relaxed

Summary:
total moment: 0.000 Bohr magnetons per cell
uncorrected energy: -5.44 eV/atom
energy relative to the elements, uncorrected: 0.272 eV per atom
crystal system: tetragonal

Structure (CIF):
```
data_Al2SbOs
_cell_length_a 4.282
_cell_length_b 4.282
_cell_length_c 7.400
_cell_angle_alpha 90.00
_cell_angle_beta 90.00
_cell_angle_gamma 90.00
_symmetry_space_group_name_H-M 'I -4 m 2'
_symmetry_Int_Tables_number 119
_symmetry_space_group_name_Hall 'I -4 -2'
loop_
_atom_site_label
_atom_site_fract_x
_atom_site_fract_y
_atom_site_fract_z
Al1 0.000 0.000 0.000
Al2 0.000 0.500 0.250
Sb1 0.000 0.000 0.500
Os1 0.000 0.500 0.750
```



# 3
Compound: Be3CSe
Source: the Alexandria database
Functional: GGA-PBE
Structure: relaxed

Summary:
total moment: 0.000 Bohr magnetons per cell
uncorrected energy: -4.71 eV/atom
energy relative to the elements, uncorrected: 0.070 eV per atom
relative energy among the computed polymorphs: 0 meV/atom
crystal system: cubic

Structure (CIF):
```
data_Be3CSe
_cell_length_a 3.711
_cell_length_b 3.711
_cell_length_c 3.711
_cell_angle_alpha 90.00
_cell_angle_beta 90.00
_cell_angle_gamma 90.00
_symmetry_space_group_name_H-M 'P m -3 m'
_symmetry_Int_Tables_number 221
_symmetry_space_group_name_Hall '-P 4 2 3'
loop_
_atom_site_label
_atom_site_fract_x
_atom_site_fract_y
_atom_site_fract_z
Be1 0.000 0.000 0.500
C1 0.000 0.000 0.000
Se1 0.500 0.500 0.500
```



# 4
Compound: CdPd2W
Source: the Alexandria database
Functional: GGA-PBE
Structure: relaxed

Summary:
total moment: 0.000 Bohr magnetons per cell
uncorrected energy: -5.43 eV/atom
ΔE_f: 60.83 kJ/mol of atoms
crystal system: tetragonal

Structure (CIF):
```
data_CdPd2W
_cell_length_a 7.239
_cell_length_b 7.239
_cell_length_c 5.652
_cell_angle_alpha 90.00
_cell_angle_beta 90.00
_cell_angle_gamma 90.00
_symmetry_space_group_name_H-M 'I -4 2 d'
_symmetry_Int_Tables_number 122
_symmetry_space_group_name_Hall 'I -4 2bw'
loop_
_atom_site_label
_atom_site_fract_x
_atom_site_fract_y
_atom_site_fract_z
Cd1 0.000 0.000 0.000
Pd1 0.223 0.750 0.625
W1 0.000 0.000 0.500
```



# 5
Compound: AlSi3Ni2
Source: the Alexandria database
Functional: GGA-PBE
Structure: relaxed

Summary:
total moment: 0.000 Bohr magnetons per cell
uncorrected energy: -5.28 eV/atom
energy relative to the elements, uncorrected: -0.021 eV per atom
crystal system: hexagonal

Structure (CIF):
```
data_AlSi3Ni2
_cell_length_a 4.8599
_cell_length_b 4.8599
_cell_length_c 3.9896
_cell_angle_alpha 90.00
_cell_angle_beta 90.00
_cell_angle_gamma 120.00
_symmetry_space_group_name_H-M 'P 6/m m m'
_symmetry_Int_Tables_number 191
_symmetry_space_group_name_Hall '-P 6 2'
loop_
_atom_site_label
_atom_site_fract_x
_atom_site_fract_y
_atom_site_fract_z
Al1 0.0000 0.0000 0.0000
Si1 0.0000 0.5000 0.5000
Ni1 0.3333 0.6667 0.0000
```



# 6
Compound: KZrW2
Source: the Alexandria database
Functional: GGA-PBE
Structure: relaxed

Summary:
total moment: 0.000 Bohr magnetons per cell
uncorrected energy: -8.20 eV/atom
ΔE_f: 65.94 kJ/mol of atoms
relative energy among the computed polymorphs: 0 meV/atom
crystal system: orthorhombic

Structure (CIF):
```
data_KZrW2
_cell_length_a 3.251
_cell_length_b 4.895
_cell_length_c 11.039
_cell_angle_alpha 90.00
_cell_angle_beta 90.00
_cell_angle_gamma 90.00
_symmetry_space_group_name_H-M 'C m m 2'
_symmetry_Int_Tables_number 35
_symmetry_space_group_name_Hall 'C 2 -2'
loop_
_atom_site_label
_atom_site_fract_x
_atom_site_fract_y
_atom_site_fract_z
K1 0.000 0.000 0.000
Zr1 0.000 0.500 0.321
W1 0.000 0.000 0.535
W2 0.000 0.500 0.717
```



# 7
Compound: NbPN2
Source: the Alexandria database
Functional: GGA-PBE
Structure: relaxed

Summary:
total moment: 0.000 Bohr magnetons per cell
uncorrected energy: -8.22 eV/atom
energy relative to the elements, uncorrected: -0.189 eV per atom
crystal system: trigonal

Structure (CIF):
```
data_NbPN2
_cell_length_a 3.0244
_cell_length_b 3.0244
_cell_length_c 18.2558
_cell_angle_alpha 90.00
_cell_angle_beta 90.00
_cell_angle_gamma 120.00
_symmetry_space_group_name_H-M 'R -3 m'
_symmetry_Int_Tables_number 166
_symmetry_space_group_name_Hall '-R 3 2"'
loop_
_atom_site_label
_atom_site_fract_x
_atom_site_fract_y
_atom_site_fract_z
Nb1 0.0000 0.0000 0.0000
P1 0.0000 0.0000 0.5000
N1 0.0000 0.0000 0.4023
```



# 8
Compound: Y6Ho4Sc
Source: the Alexandria database
Functional: GGA-PBE
Structure: relaxed

Summary:
total moment: 0.001 Bohr magnetons per cell
uncorrected energy: -5.63 eV/atom
ΔE_f: 12.96 kJ/mol of atoms
relative energy among the computed polymorphs: 0 meV/atom
crystal system: orthorhombic

Structure (CIF):
```
data_Y6Ho4Sc
_cell_length_a 5.617
_cell_length_b 9.596
_cell_length_c 25.562
_cell_angle_alpha 90.00
_cell_angle_beta 90.00
_cell_angle_gamma 90.00
_symmetry_space_group_name_H-M 'C m c m'
_symmetry_Int_Tables_number 63
_symmetry_space_group_name_Hall '-C 2c 2'
loop_
_atom_site_label
_atom_site_fract_x
_atom_site_fract_y
_atom_site_fract_z
Y1 0.000 0.000 0.000
Y2 0.000 0.011 0.250
Y3 0.000 0.321 0.606
Y4 0.000 0.346 0.182
Ho1 0.000 0.015 0.121
Ho2 0.000 0.338 0.043
Sc1 0.000 0.323 0.750
```



# 9
Compound: KCaO2F
Source: the Alexandria database
Functional: GGA-PBE
Structure: relaxed

Summary:
total moment: 2.000 Bohr magnetons per cell
uncorrected energy: -3.66 eV/atom
energy relative to the elements, uncorrected: -0.685 eV per atom
crystal system: tetragonal

Structure (CIF):
```
data_KCaO2F
_cell_length_a 4.740
_cell_length_b 4.740
_cell_length_c 4.170
_cell_angle_alpha 90.00
_cell_angle_beta 90.00
_cell_angle_gamma 90.00
_symmetry_space_group_name_H-M 'P 4/m m m'
_symmetry_Int_Tables_number 123
_symmetry_space_group_name_Hall '-P 4 2'
loop_
_atom_site_label
_atom_site_fract_x
_atom_site_fract_y
_atom_site_fract_z
K1 0.000 0.000 0.000
Ca1 0.500 0.500 0.000
O1 0.000 0.500 0.500
F1 0.000 0.000 0.500
```



# 10
Compound: Sm2DyCd
Source: the Alexandria database
Functional: GGA-PBE
Structure: relaxed

Summary:
total moment: 0.000 Bohr magnetons per cell
uncorrected energy: -3.78 eV/atom
ΔE_f: -3.58 kJ/mol of atoms
relative energy among the computed polymorphs: 103 meV/atom
crystal system: trigonal

Structure (CIF):
```
data_Sm2DyCd
_cell_length_a 3.5861
_cell_length_b 3.5861
_cell_length_c 33.2143
_cell_angle_alpha 90.00
_cell_angle_beta 90.00
_cell_angle_gamma 120.00
_symmetry_space_group_name_H-M 'R 3 m'
_symmetry_Int_Tables_number 160
_symmetry_space_group_name_Hall 'R 3 -2"'
loop_
_atom_site_label
_atom_site_fract_x
_atom_site_fract_y
_atom_site_fract_z
Sm1 0.0000 0.0000 0.0000
Sm2 0.0000 0.0000 0.1584
Dy1 0.0000 0.0000 0.5798
Cd1 0.0000 0.0000 0.4125
```



# 11
Compound: Te2PNCl
Source: the Alexandria database
Functional: GGA-PBE
Structure: relaxed

Summary:
total moment: 0.000 Bohr magnetons per cell
uncorrected energy: -2.73 eV/atom
energy relative to the elements, uncorrected: 1.640 eV per atom
relative energy among the computed polymorphs: 1083 meV/atom
crystal system: tetragonal

Structure (CIF):
```
data_Te2PNCl
_cell_length_a 5.830
_cell_length_b 5.830
_cell_length_c 3.340
_cell_angle_alpha 90.00
_cell_angle_beta 90.00
_cell_angle_gamma 90.00
_symmetry_space_group_name_H-M 'P 4/m m m'
_symmetry_Int_Tables_number 123
_symmetry_space_group_name_Hall '-P 4 2'
loop_
_atom_site_label
_atom_site_fract_x
_atom_site_fract_y
_atom_site_fract_z
Te1 0.000 0.500 0.000
P1 0.000 0.000 0.500
N1 0.500 0.500 0.500
Cl1 0.500 0.500 0.000
```



# 12
Compound: PaTcRuPb
Source: the Alexandria database
Functional: GGA-PBE
Structure: relaxed

Summary:
total moment: 0.001 Bohr magnetons per cell
uncorrected energy: -8.29 eV/atom
ΔE_f: -7.40 kJ/mol of atoms
crystal system: cubic

Structure (CIF):
```
data_PaTcRuPb
_cell_length_a 6.774
_cell_length_b 6.774
_cell_length_c 6.774
_cell_angle_alpha 90.00
_cell_angle_beta 90.00
_cell_angle_gamma 90.00
_symmetry_space_group_name_H-M 'F -4 3 m'
_symmetry_Int_Tables_number 216
_symmetry_space_group_name_Hall 'F -4 2 3'
loop_
_atom_site_label
_atom_site_fract_x
_atom_site_fract_y
_atom_site_fract_z
Pa1 0.000 0.000 0.000
Tc1 0.250 0.250 0.250
Ru1 0.250 0.250 0.750
Pb1 0.000 0.000 0.500
```



# 13
Compound: AlGaHS2
Source: the Alexandria database
Functional: GGA-PBE
Structure: relaxed

Summary:
total moment: 0.000 Bohr magnetons per cell
uncorrected energy: -3.39 eV/atom
crystal system: tetragonal

Structure (CIF):
```
data_AlGaHS2
_cell_length_a 4.685
_cell_length_b 4.685
_cell_length_c 3.320
_cell_angle_alpha 90.00
_cell_angle_beta 90.00
_cell_angle_gamma 90.00
_symmetry_space_group_name_H-M 'P 4/m m m'
_symmetry_Int_Tables_number 123
_symmetry_space_group_name_Hall '-P 4 2'
loop_
_atom_site_label
_atom_site_fract_x
_atom_site_fract_y
_atom_site_fract_z
Al1 0.000 0.000 0.000
Ga1 0.500 0.500 0.000
H1 0.500 0.500 0.500
S1 0.000 0.500 0.500
```



# 14
Compound: Ca2TlSbO6
Source: the Alexandria database
Functional: GGA-PBE
Structure: relaxed

Summary:
total moment: 0.000 Bohr magnetons per cell
uncorrected energy: -5.82 eV/atom
energy relative to the elements, uncorrected: -1.794 eV per atom
crystal system: tetragonal

Structure (CIF):
```
data_Ca2TlSbO6
_cell_length_a 5.463
_cell_length_b 5.463
_cell_length_c 5.292
_cell_angle_alpha 90.00
_cell_angle_beta 90.00
_cell_angle_gamma 90.00
_symmetry_space_group_name_H-M 'P 4 m m'
_symmetry_Int_Tables_number 99
_symmetry_space_group_name_Hall 'P 4 -2'
loop_
_atom_site_label
_atom_site_fract_x
_atom_site_fract_y
_atom_site_fract_z
Ca1 0.000 0.500 0.000
Tl1 0.000 0.000 0.543
Sb1 0.500 0.500 0.606
O1 0.000 0.000 0.151
O2 0.261 0.261 0.740
O3 0.500 0.500 0.243
```



# 15
Compound: Ba2LiRhO6
Source: the Alexandria database
Functional: GGA-PBE
Structure: relaxed

Summary:
total moment: 7.465 Bohr magnetons per cell
uncorrected energy: -5.92 eV/atom
energy relative to the elements, uncorrected: -1.632 eV per atom
crystal system: cubic

Structure (CIF):
```
data_Ba2LiRhO6
_cell_length_a 8.181
_cell_length_b 8.181
_cell_length_c 8.181
_cell_angle_alpha 90.00
_cell_angle_beta 90.00
_cell_angle_gamma 90.00
_symmetry_space_group_name_H-M 'F m -3 m'
_symmetry_Int_Tables_number 225
_symmetry_space_group_name_Hall '-F 4 2 3'
loop_
_atom_site_label
_atom_site_fract_x
_atom_site_fract_y
_atom_site_fract_z
Ba1 0.250 0.250 0.250
Li1 0.000 0.000 0.000
Rh1 0.000 0.000 0.500
O1 0.000 0.000 0.262
```



# 16
Compound: Sm2ZrIn2Rh5
Source: the Alexandria database
Functional: GGA-PBE
Structure: relaxed

Summary:
total moment: 0.000 Bohr magnetons per cell
uncorrected energy: -6.57 eV/atom
ΔE_f: -52.52 kJ/mol of atoms
crystal system: tetragonal

Structure (CIF):
```
data_Sm2ZrIn2Rh5
_cell_length_a 10.418
_cell_length_b 10.418
_cell_length_c 3.643
_cell_angle_alpha 90.00
_cell_angle_beta 90.00
_cell_angle_gamma 90.00
_symmetry_space_group_name_H-M 'P 4/m b m'
_symmetry_Int_Tables_number 127
_symmetry_space_group_name_Hall '-P 4 2ab'
loop_
_atom_site_label
_atom_site_fract_x
_atom_site_fract_y
_atom_site_fract_z
Sm1 0.168 0.332 0.000
Zr1 0.000 0.000 0.000
In1 0.131 0.631 0.000
Rh1 0.000 0.500 0.500
Rh2 0.055 0.804 0.500
```



# 17
Compound: Al2Sn2Pb
Source: the Alexandria database
Functional: GGA-PBE
Structure: relaxed

Summary:
total moment: 0.000 Bohr magnetons per cell
uncorrected energy: -3.70 eV/atom
ΔE_f: 13.09 kJ/mol of atoms
relative energy among the computed polymorphs: 0 meV/atom
crystal system: tetragonal

Structure (CIF):
```
data_Al2Sn2Pb
_cell_length_a 4.023
_cell_length_b 4.023
_cell_length_c 15.990
_cell_angle_alpha 90.00
_cell_angle_beta 90.00
_cell_angle_gamma 90.00
_symmetry_space_group_name_H-M 'I 4/m m m'
_symmetry_Int_Tables_number 139
_symmetry_space_group_name_Hall '-I 4 2'
loop_
_atom_site_label
_atom_site_fract_x
_atom_site_fract_y
_atom_site_fract_z
Al1 0.000 0.500 0.250
Sn1 0.000 0.000 0.119
Pb1 0.000 0.000 0.500
```



# 18
Compound: LaPrEr
Source: the Alexandria database
Functional: GGA-PBE
Structure: relaxed

Summary:
total moment: 0.000 Bohr magnetons per cell
uncorrected energy: -4.73 eV/atom
ΔE_f: 2.89 kJ/mol of atoms
relative energy among the computed polymorphs: 11 meV/atom
crystal system: monoclinic

Structure (CIF):
```
data_LaPrEr
_cell_length_a 15.861
_cell_length_b 3.677
_cell_length_c 7.350
_cell_angle_alpha 90.00
_cell_angle_beta 103.47
_cell_angle_gamma 90.00
_symmetry_space_group_name_H-M 'C 1 2/m 1'
_symmetry_Int_Tables_number 12
_symmetry_space_group_name_Hall '-C 2y'
loop_
_atom_site_label
_atom_site_fract_x
_atom_site_fract_y
_atom_site_fract_z
La1 0.164 0.000 0.081
Pr1 0.164 0.000 0.583
Er1 0.001 0.500 0.252
```



# 19
Compound: CdTcPb2
Source: the Alexandria database
Functional: GGA-PBE
Structure: relaxed

Summary:
total moment: 4.163 Bohr magnetons per cell
uncorrected energy: -4.04 eV/atom
ΔE_f: 60.99 kJ/mol of atoms
crystal system: tetragonal

Structure (CIF):
```
data_CdTcPb2
_cell_length_a 4.348
_cell_length_b 4.348
_cell_length_c 9.854
_cell_angle_alpha 90.00
_cell_angle_beta 90.00
_cell_angle_gamma 90.00
_symmetry_space_group_name_H-M 'I -4 m 2'
_symmetry_Int_Tables_number 119
_symmetry_space_group_name_Hall 'I -4 -2'
loop_
_atom_site_label
_atom_site_fract_x
_atom_site_fract_y
_atom_site_fract_z
Cd1 0.000 0.000 0.000
Tc1 0.000 0.500 0.250
Pb1 0.000 0.000 0.500
Pb2 0.000 0.500 0.750
```



# 20
Compound: PrTmSb
Source: the Alexandria database
Functional: GGA-PBE
Structure: relaxed

Summary:
total moment: 0.000 Bohr magnetons per cell
uncorrected energy: -5.29 eV/atom
energy relative to the elements, uncorrected: -0.833 eV per atom
crystal system: tetragonal

Structure (CIF):
```
data_PrTmSb
_cell_length_a 4.543
_cell_length_b 4.543
_cell_length_c 8.692
_cell_angle_alpha 90.00
_cell_angle_beta 90.00
_cell_angle_gamma 90.00
_symmetry_space_group_name_H-M 'P 4/n m m'
_symmetry_Int_Tables_number 129
loop_
_symmetry_equiv_pos_as_xyz
'x,y,z'
'-x,-y,-z'
'-y+1/2,x,z'
'y+1/2,-x,-z'
'-x+1/2,-y+1/2,z'
'x+1/2,y+1/2,-z'
'y,-x+1/2,z'
'-y,x+1/2,-z'
'x+1/2,-y,-z'
'-x+1/2,y,z'
'-y,-x,-z'
'y,x,z'
'-x,y+1/2,-z'
'x,-y+1/2,z'
'y+1/2,x+1/2,-z'
'-y+1/2,-x+1/2,z'
loop_
_atom_site_label
_atom_site_fract_x
_atom_site_fract_y
_atom_site_fract_z
Pr1 0.250 0.250 0.148
Tm1 0.250 0.750 0.500
Sb1 0.250 0.250 0.767
```